# 1
This record from Alexandria describes a relaxed La2MnCu3Ge4 crystal. The functional is GGA-PBE.

Properties
energy of formation: -496 kJ/mol of formula units
volume: 18.8 Å³ per atom
energy: -5.492 eV/atom
theoretical density: 7203 kg/m3
space-group type: P-4m2

```
La2MnCu3Ge4
1.0
-3.910 -1.719 -0.348
0.849 -2.600 3.298
-3.658 7.013 6.470
La Mn Cu Ge
2 1 3 4
direct
0.500 0.000 0.245
0.000 0.500 0.755
0.500 0.500 0.500
0.000 0.000 0.500
0.500 0.000 0.874
0.000 0.500 0.126
0.500 0.500 0.000
0.000 0.000 0.000
0.500 0.000 0.633
0.000 0.500 0.367
```

---

# 2
This record from Alexandria describes a relaxed NdHfCu2 crystal. The functional is GGA-PBE.

Properties
energy above the most stable polymorph in this dataset: 0.000 eV per atom
energy of formation: -40 kJ/mol of formula units
volume: 19.9 Å³ per atom
energy: -5.833 eV/atom
theoretical density: 9391 kg/m3
space-group type: P4/mmm

```
NdHfCu2
1.0
3.376 0.000 0.000
0.000 3.376 0.000
0.000 0.000 6.981
Nd Hf Cu
1 1 2
direct
0.500 0.500 0.500
0.500 0.500 0.000
0.000 0.000 0.804
0.000 0.000 0.196
```